La3RuSe | PBE | relaxed

```
5
Lattice="-1.3365 -1.3269 -5.1165 3.1530 -4.4358 0.3268 -4.2423 -2.8789 1.8547" Properties=species:S:1:pos:R:3 pbc="T T T"
Ru 0.0000 0.0000 0.0000
Se -1.2129 -4.3208 -1.4675
La 1.5765 -2.2179 0.1634
La -2.1212 -1.4394 0.9274
La -0.6682 -0.6634 -2.5582
```

Calculated values
raw formation energy	-11.55	kcal/mol of atoms
spin magnetization	0.00	μB per cell
mass density	6.11	g/cm³